Compound: NbAgMoO6
Source: Alexandria
Functional: PBE+U
Structure: optimized geometry

Calculated values
Total magnetization in μB per atom: 0.000
E_tot in eV/f.u.: -64.5

a = 5.2962 Å, b = 5.2962 Å, c = 10.1820 Å
α = 90.00°, β = 90.00°, γ = 120.00°
Fractional positions:
1 O 0.6179 0.9907 0.3572
2 Nb 0.3333 0.6667 0.7500
3 O 0.9907 0.3728 0.6428
4 O 0.6272 0.6179 0.6428
5 Nb 0.6667 0.3333 0.2500
6 Ag 0.0000 0.0000 0.0000
7 O 0.9907 0.6179 0.8572
8 O 0.3728 0.3821 0.3572
9 O 0.3821 0.3728 0.8572
10 O 0.3821 0.0093 0.6428
11 O 0.3728 0.9907 0.1428
12 O 0.0093 0.6272 0.3572
13 O 0.6179 0.6272 0.1428
14 Ag 0.0000 0.0000 0.5000
15 O 0.6272 0.0093 0.8572
16 Mo 0.3333 0.6667 0.2500
17 O 0.0093 0.3821 0.1428
18 Mo 0.6667 0.3333 0.7500